Record 1
This record from Alexandria describes ZnCd2Pd2 after structural relaxation. The functional is PBE.

DFT formation energy	0.0158	eV/atom
space group	I4/mmm
total magnetic moment	0.00	μB per cell
energy above the most stable polymorph in this dataset	348	meV/atom

Cell: 3.8704 3.8704 7.1565 Å, 74.31 74.31 90.00°
Atoms (fractional coordinates):
Pd1 0.4029 0.4029 0.1942
Zn1 0.0000 0.0000 0.0000
Pd2 0.5971 0.5971 0.8058
Cd1 0.7500 0.2500 0.5000
Cd2 0.2500 0.7500 0.5000

***

Record 2
This record from Alexandria describes ZnCd2Pd2 after structural relaxation. The functional is PBE.

DFT formation energy	-0.3319	eV/atom
space group	P4/mbm
total magnetic moment	0.00	μB per cell
energy above the most stable polymorph in this dataset	0	meV/atom

Cell: 6.6493 6.6493 4.1339 Å, 90.00 90.00 90.00°
Atoms (fractional coordinates):
Cd1 0.8412 0.3412 0.5000
Pd1 0.6466 0.1466 0.0000
Cd2 0.6588 0.8412 0.5000
Cd3 0.1588 0.6588 0.5000
Pd2 0.3534 0.8534 0.0000
Cd4 0.3412 0.1588 0.5000
Pd3 0.8534 0.6466 0.0000
Zn1 0.5000 0.5000 0.0000
Zn2 0.0000 0.0000 0.0000
Pd4 0.1466 0.3534 0.0000

***

Record 3
This record from Alexandria describes Zn3CdPd12 after structural relaxation. The functional is PBE.

DFT formation energy	-0.2765	eV/atom
space group	P4/mmm
total magnetic moment	0.00	μB per cell

Cell: 3.9588 3.9588 15.6561 Å, 90.00 90.00 90.00°
Atoms (fractional coordinates):
Pd1 0.5000 0.5000 0.2549
Zn1 0.0000 0.0000 0.5000
Pd2 0.5000 0.0000 0.8674
Zn2 0.0000 0.0000 0.2547
Pd3 0.0000 0.5000 0.3773
Pd4 0.0000 0.5000 0.1326
Pd5 0.5000 0.5000 0.0000
Pd6 0.5000 0.0000 0.3773
Pd7 0.5000 0.0000 0.1326
Pd8 0.0000 0.5000 0.8674
Pd9 0.5000 0.0000 0.6227
Pd10 0.5000 0.5000 0.5000
Cd1 0.0000 0.0000 0.0000
Pd11 0.0000 0.5000 0.6227
Zn3 0.0000 0.0000 0.7453
Pd12 0.5000 0.5000 0.7451

***

Record 4
This record from Alexandria describes ZnCd6Pd after structural relaxation. The functional is PBE.

DFT formation energy	-0.0679	eV/atom
space group	I4/mmm
total magnetic moment	0.00	μB per cell
energy above the most stable polymorph in this dataset	0	meV/atom

Cell: 8.1587 8.1587 8.1587 Å, 147.05 147.05 47.28°
Atoms (fractional coordinates):
Cd1 0.7523 0.7523 0.0000
Cd2 0.1121 0.6121 0.5000
Pd1 0.0000 0.0000 0.0000
Cd3 0.6121 0.1121 0.5000
Cd4 0.2477 0.2477 0.0000
Cd5 0.3879 0.8879 0.5000
Cd6 0.8879 0.3879 0.5000
Zn1 0.5000 0.5000 0.0000

***

Look up the total magnetic moment of the fourth one.
0.00 μB per cell

***

Which value of total magnetic moment does entry 3 give?
0.00 μB per cell

***

What is the formula in the fourth record?
ZnCd6Pd